Crystalline YThNi4 at its relaxed geometry. Source: Alexandria, functional PBE.

For the total moment, the calculation gives 0.0000 μB/atom. The calculation puts the energy above the most stable polymorph in this dataset at 27 meV/atom. The calculation puts the calculated formation energy at -2.3 eV/f.u.

The structure belongs to space group F-43m (No. 216); the cell edges are 7.2637, 7.2637 and 7.2637 Å and the angles 90.00°, 90.00° and 90.00°. Symmetry generates all atoms from Y at (0.0000, 0.0000, 0.0000), Th at (0.2500, 0.2500, 0.2500) and Ni at (0.1254, 0.1254, 0.6254).

***

Crystalline Y2ThNi at its relaxed geometry. Source: Alexandria, functional PBE.

For the total moment, the calculation gives 0.0000 μB/atom. The calculation puts the energy above the most stable polymorph in this dataset at 0 meV/atom. The calculation puts the calculated formation energy at -0.6 eV/f.u.

The structure belongs to space group P4/mmm (No. 123); the cell edges are 3.4642, 3.4642 and 8.6024 Å and the angles 90.00°, 90.00° and 90.00°. Symmetry generates all atoms from Y at (0.0000, 0.0000, 0.1904), Th at (0.5000, 0.5000, 0.5000) and Ni at (0.5000, 0.5000, 0.0000).

***

Crystalline Y2Th3Ni4 at its relaxed geometry. Source: Alexandria, functional PBE.

For the total moment, the calculation gives 0.0000 μB/atom. The calculation puts the calculated formation energy at -3.2 eV/f.u.

The structure belongs to space group P2_1/c (No. 14); the cell edges are 8.0702, 7.3531 and 7.0852 Å and the angles 90.00°, 108.00° and 90.00°. Symmetry generates all atoms from Y at (0.1869, 0.1809, 0.0770), Th at (0.2261, 0.6632, 0.2472), Th at (0.5000, 0.0000, 0.5000), Ni at (0.0758, 0.5397, 0.8604) and Ni at (0.4992, 0.6255, 0.6253).

***

Crystalline YThNi2 at its relaxed geometry. Source: Alexandria, functional PBE.

For the total moment, the calculation gives 0.0000 μB/atom. The calculation puts the energy above the most stable polymorph in this dataset at 114 meV/atom. The calculation puts the calculated formation energy at -1.3 eV/f.u.

The structure belongs to space group P4/mmm (No. 123); the cell edges are 4.8742, 4.8742 and 3.4479 Å and the angles 90.00°, 90.00° and 90.00°. Symmetry generates all atoms from Y at (0.0000, 0.0000, 0.0000), Th at (0.5000, 0.5000, 0.0000) and Ni at (0.0000, 0.5000, 0.5000).

***

Crystalline Y2ThNi6 at its relaxed geometry. Source: Alexandria, functional PBE.

For the total moment, the calculation gives 0.0000 μB/atom. The calculation puts the energy above the most stable polymorph in this dataset at 196 meV/atom. The calculation puts the calculated formation energy at -1.8 eV/f.u.

The structure belongs to space group Immm (No. 71); the cell edges are 3.6165, 6.9191 and 13.0204 Å and the angles 90.00°, 90.00° and 90.00°. Symmetry generates all atoms from Y at (0.0000, 0.0000, 0.1462), Th at (0.0000, 0.5000, 0.0000), Ni at (0.0000, 0.1766, 0.3365) and Ni at (0.0000, 0.3260, 0.5000).

***

Crystalline Y2ThNi2 at its relaxed geometry. Source: Alexandria, functional PBE.

For the total moment, the calculation gives 0.0000 μB/atom. The calculation puts the calculated formation energy at -1.8 eV/f.u.

The structure belongs to space group C2/c (No. 15); the cell edges are 10.9477, 6.0388 and 7.1680 Å and the angles 90.00°, 100.54° and 90.00°. Symmetry generates all atoms from Y at (0.1556, 0.1064, 0.1540), Th at (0.0000, 0.4049, 0.7500) and Ni at (0.1554, 0.3576, 0.5096).

***

Crystalline YThNi4 at its relaxed geometry. Source: Alexandria, functional PBE.

For the total moment, the calculation gives 0.0000 μB/atom. The calculation puts the energy above the most stable polymorph in this dataset at 0 meV/atom. The calculation puts the calculated formation energy at -2.4 eV/f.u.

The structure belongs to space group Pmmm (No. 47); the cell edges are 3.7266, 4.0743 and 7.0559 Å and the angles 90.00°, 90.00° and 90.00°. Symmetry generates all atoms from Y at (0.0000, 0.0000, 0.0000), Th at (0.0000, 0.5000, 0.5000), Ni at (0.5000, 0.0000, 0.3315) and Ni at (0.5000, 0.5000, 0.1655).

***

Crystalline YTh2Ni9 at its relaxed geometry. Source: Alexandria, functional PBE.

For the total moment, the calculation gives 0.0000 μB/atom. The calculation puts the calculated formation energy at -4.8 eV/f.u.

The structure belongs to space group R-3m (No. 166, hexagonal axes); the cell edges are 4.9953, 4.9953 and 24.9657 Å and the angles 90.00°, 90.00° and 120.00°. Symmetry generates all atoms from Y at (0.0000, 0.0000, 0.0000), Th at (0.0000, 0.0000, 0.1359), Ni at (0.0000, 0.0000, 0.3331), Ni at (0.0000, 0.0000, 0.5000) and Ni at (0.0010, 0.5005, 0.9188).

***

> The lowest calculated formation energy belongs to which entry?

YTh2Ni9

***

> Which formula does entry 1 have?

YThNi4